No. 1
Pr2DyCd3: relaxed, GGA-PBE.

total magnetic moment: 2.33 μB/cell
D(E_F): 13.12 states/eV/cell
E: -37.57 eV per cell
ΔH_f (0 K): -0.3128 eV/atom

Geometry as POSCAR:
```
Pr2DyCd3
1.0
-0.2438 -4.4329 -3.1176
1.5081 -0.4167 5.1944
-12.7022 -1.7939 3.5441
Pr Dy Cd
4 2 6
Direct
0.0000 0.0000 0.5000
0.3333 0.6667 0.1704
0.6667 0.3333 0.8296
0.0000 0.0000 0.0000
0.3333 0.6667 0.6665
0.6667 0.3333 0.3335
0.3333 0.6667 0.4184
0.6667 0.3333 0.0868
0.0000 0.0000 0.7457
0.0000 0.0000 0.2543
0.3333 0.6667 0.9132
0.6667 0.3333 0.5816
```

=====

No. 2
Pr3Dy2Cd: relaxed, GGA-PBE.

total magnetic moment: 0.00 μB/cell
ΔE to the lowest computed polymorph: 120 meV/atom
D(E_F): 15.71 states/eV/cell
E: -48.49 eV per cell
ΔH_f (0 K): 0.0355 eV/atom

Geometry as POSCAR:
```
Pr3Dy2Cd
1.0
-2.6757 0.2217 -2.3297
-1.0399 -8.6239 -2.3384
-9.4218 -6.8426 7.4578
Pr Dy Cd
6 4 2
Direct
0.0658 0.0941 0.7743
0.9342 0.9059 0.2257
0.5878 0.8047 0.0196
0.4122 0.1953 0.9804
0.7465 0.8844 0.6226
0.2535 0.1156 0.3774
0.7749 0.5749 0.8754
0.2251 0.4251 0.1246
0.5867 0.3009 0.5257
0.4133 0.6991 0.4743
0.4117 0.4603 0.7162
0.5883 0.5397 0.2838
```

=====

No. 3
PrDy2Cd5: relaxed, GGA-PBE.

total magnetic moment: 0.00 μB/cell
D(E_F): 3.91 states/eV/cell
E: -21.08 eV per cell
ΔH_f (0 K): -0.3147 eV/atom

Geometry as POSCAR:
```
PrDy2Cd5
1.0
-4.0169 3.3148 0.1548
-3.2862 -4.0074 0.5379
4.3181 0.8045 7.1396
Pr Dy Cd
1 2 5
Direct
0.0000 0.0000 0.0000
0.7366 0.7366 0.4731
0.2634 0.2634 0.5269
0.5000 0.5000 0.0000
0.8757 0.3757 0.7515
0.3757 0.8757 0.7515
0.1243 0.6243 0.2485
0.6243 0.1243 0.2485
```